1.
# Zr7TeH2Pb2 (PBE-GGA, relaxed)
data_Zr7TeH2Pb2
_space_group_name_H-M_alt 'I 4/m m m'
_space_group_IT_number 139
_space_group_name_Hall '-I 4 2'
_cell_length_a 4.294
_cell_length_b 4.294
_cell_length_c 25.488
_cell_angle_alpha 90.00
_cell_angle_beta 90.00
_cell_angle_gamma 90.00
loop_
_atom_site_label
_atom_site_fract_x
_atom_site_fract_y
_atom_site_fract_z
Zr1 0.000 0.000 0.000
Zr2 0.000 0.000 0.201
Zr3 0.000 0.500 0.093
Te1 0.000 0.000 0.500
H1 0.000 0.000 0.084
Pb1 0.000 0.000 0.319
# - Spin magnetization: 0.00 Bohr magnetons per cell
# - DOS at the Fermi energy: 0.7239 states/eV per atom
# - Calculated total energy: -6.768 eV/atom


2.
# Pr15Er2Mg2 (PBE-GGA, relaxed)
data_Pr15Er2Mg2
_space_group_name_H-M_alt 'R -3 m'
_space_group_IT_number 166
_space_group_name_Hall '-R 3 2"'
_cell_length_a 11.3388
_cell_length_b 11.3388
_cell_length_c 18.0376
_cell_angle_alpha 90.00
_cell_angle_beta 90.00
_cell_angle_gamma 120.00
loop_
_atom_site_label
_atom_site_fract_x
_atom_site_fract_y
_atom_site_fract_z
Pr1 0.0000 0.2959 0.0000
Pr2 0.0000 0.5000 0.5000
Pr3 0.0246 0.5123 0.1361
Er1 0.0000 0.0000 0.3091
Mg1 0.0000 0.0000 0.0920
# - Spin magnetization: 0.00 Bohr magnetons per cell
# - DOS at the Fermi energy: 1.4616 states/eV per atom
# - Calculated total energy: -4.193 eV/atom


3.
# LiLaGa2Ru (PBE-GGA, relaxed)
data_LiLaGa2Ru
_space_group_name_H-M_alt 'P 4/m m m'
_space_group_IT_number 123
_space_group_name_Hall '-P 4 2'
_cell_length_a 4.761
_cell_length_b 4.761
_cell_length_c 4.720
_cell_angle_alpha 90.00
_cell_angle_beta 90.00
_cell_angle_gamma 90.00
loop_
_atom_site_label
_atom_site_fract_x
_atom_site_fract_y
_atom_site_fract_z
Li1 0.000 0.000 0.000
La1 0.500 0.500 0.000
Ga1 0.000 0.500 0.500
Ru1 0.000 0.000 0.500
# - Spin magnetization: 0.00 Bohr magnetons per cell
# - DOS at the Fermi energy: 0.7169 states/eV per atom
# - Calculated total energy: -4.751 eV/atom


Please write out number 1 again, unchanged.
# Zr7TeH2Pb2 (PBE-GGA, relaxed)
data_Zr7TeH2Pb2
_space_group_name_H-M_alt 'I 4/m m m'
_space_group_IT_number 139
_space_group_name_Hall '-I 4 2'
_cell_length_a 4.294
_cell_length_b 4.294
_cell_length_c 25.488
_cell_angle_alpha 90.00
_cell_angle_beta 90.00
_cell_angle_gamma 90.00
loop_
_atom_site_label
_atom_site_fract_x
_atom_site_fract_y
_atom_site_fract_z
Zr1 0.000 0.000 0.000
Zr2 0.000 0.000 0.201
Zr3 0.000 0.500 0.093
Te1 0.000 0.000 0.500
H1 0.000 0.000 0.084
Pb1 0.000 0.000 0.319
# - Spin magnetization: 0.00 Bohr magnetons per cell
# - DOS at the Fermi energy: 0.7239 states/eV per atom
# - Calculated total energy: -6.768 eV/atom